Here is LiCaIn2I5 after structural relaxation from Alexandria via LeMat-Bulk. Energies are from GGA-PBE.

```
LiCaIn2I5
1.0
2.304 -10.101 0.000
2.304 10.101 0.000
0.000 0.000 15.261
Li Ca In I
2 2 4 10
direct
0.059 0.941 0.500
0.941 0.059 0.000
0.293 0.707 0.096
0.707 0.293 0.596
0.374 0.626 0.391
0.405 0.595 0.731
0.595 0.405 0.231
0.626 0.374 0.891
0.005 0.995 0.842
0.138 0.862 0.069
0.194 0.806 0.455
0.218 0.782 0.737
0.450 0.550 0.101
0.550 0.450 0.601
0.782 0.218 0.237
0.806 0.194 0.955
0.862 0.138 0.569
0.995 0.005 0.342
```

Summary:
symmetry	Cmc2_1 (36)
raw formation energy	-9.04	eV per formula unit
crystal system	orthorhombic


Here is BaNiSb after structural relaxation from Alexandria via LeMat-Bulk. Energies are from GGA-PBE.

```
BaNiSb
1.0
-1.831 1.831 5.989
1.831 -1.831 5.989
1.831 1.831 -5.989
Ba Ni Sb
1 1 1
direct
0.000 0.000 0.000
0.281 0.281 0.000
0.720 0.720 0.000
```

Summary:
symmetry	I4mm (107)
raw formation energy	-0.55	eV per formula unit
crystal system	tetragonal


Here is CuAsCSe2 after structural relaxation from Alexandria via LeMat-Bulk. Energies are from GGA-PBE.

```
CuAsCSe2
1.0
4.796 0.000 0.000
0.000 4.796 0.000
0.000 0.000 4.555
Cu As C Se
1 1 1 2
direct
0.000 0.000 0.000
0.000 0.000 0.500
0.500 0.500 0.500
0.000 0.500 0.000
0.500 0.000 0.000
```

Summary:
symmetry	P4/mmm (123)
raw formation energy	9.04	eV per formula unit
crystal system	tetragonal
excess energy over the best structure of this formula in the dataset	3.02	eV per formula unit


Here is Pr2Nd3Y5 after structural relaxation from Alexandria via LeMat-Bulk. Energies are from GGA-PBE.

```
Pr2Nd3Y5
1.0
5.394 -8.377 0.000
5.394 8.377 0.000
-5.386 0.000 7.581
Pr Nd Y
4 6 10
direct
0.022 0.268 0.042
0.268 0.022 0.542
0.732 0.978 0.458
0.978 0.732 0.958
0.226 0.475 0.453
0.273 0.727 0.250
0.475 0.226 0.953
0.525 0.774 0.047
0.727 0.273 0.750
0.774 0.525 0.547
0.027 0.973 0.750
0.134 0.371 0.751
0.226 0.774 0.750
0.371 0.134 0.251
0.474 0.526 0.250
0.526 0.474 0.750
0.629 0.866 0.749
0.774 0.226 0.250
0.866 0.629 0.249
0.973 0.027 0.250
```

Summary:
symmetry	C2/c (15)
crystal system	monoclinic
formation enthalpy at 0 K	166.1	meV per atom